[1]
The following is a DFT calculation (PBE) of RbAcGeTe3 after structural relaxation.

Output
SG: P2_1/m, No. 11
energy relative to the elements, uncorrected: -0.97 eV per atom

Geometry as POSCAR:
```
RbAcGeTe3
1.0
9.626 0.000 0.000
0.000 4.528 0.000
-3.705 0.000 11.875
Rb Ac Ge Te
2 2 2 6
Direct
0.245 0.250 0.203
0.755 0.750 0.797
0.155 0.750 0.659
0.845 0.250 0.341
0.386 0.250 0.945
0.614 0.750 0.055
0.105 0.750 0.384
0.189 0.750 0.934
0.422 0.250 0.737
0.578 0.750 0.263
0.811 0.250 0.066
0.895 0.250 0.616
```

***

[2]
The following is a DFT calculation (PBE) of Ac4ReGe5 after structural relaxation.

Output
DFT formation energy: -0.2949 eV/atom
SG: I4, No. 79

Geometry as POSCAR:
```
Ac4ReGe5
1.0
-4.783 4.783 3.265
4.783 -4.783 3.265
4.783 4.783 -3.265
Ac Re Ge
4 1 5
Direct
0.080 0.694 0.774
0.306 0.080 0.386
0.694 0.920 0.614
0.920 0.306 0.226
0.440 0.440 0.000
0.076 0.076 0.000
0.252 0.410 0.658
0.410 0.752 0.158
0.594 0.252 0.842
0.752 0.594 0.342
```

***

The following total energy values (in eV/atom) correspond, in order, to the records above: -4.160, -5.492.
The following density values (in g/cm3) correspond, in order, to the records above: 4.93, 8.10.